DFT (PBE) results for crystalline SrCa3In4 at its relaxed geometry.

a b c (Å): 5.464 8.007 10.931
angles (deg): 90.00 90.00 90.00
Element x y z (fractional)
Ca (0.000, 0.000, 0.000)
Ca (0.501, 0.500, 0.750)
Ca (0.502, 0.000, 0.750)
Ca (0.000, 0.000, 0.500)
Ca (0.499, 0.500, 0.250)
Ca (0.498, 0.000, 0.250)
In (0.500, 0.763, 0.500)
In (0.500, 0.237, 0.500)
In (0.500, 0.237, 0.000)
In (0.500, 0.763, 0.000)
In (0.998, 0.237, 0.250)
In (0.998, 0.763, 0.250)
In (0.002, 0.237, 0.750)
In (0.002, 0.763, 0.750)
Sr (0.000, 0.500, 0.000)
Sr (0.000, 0.500, 0.500)

Energy of formation   -0.4568 eV per atom
D(E_F)   7.07 states/eV per cell
E_tot   -44.59 eV for the cell shown
SG   Pmma (51)